one) DFT (PBE+U) results for a relaxed NdMoClO4 crystal.

For the volume, the calculation gives 270.4 Å³ per cell. As for the space group: C2/m (12).

Structure (POSCAR):
```
NdMoClO4
1.0
5.2787 -3.7800 0.0000
5.2787 3.7800 0.0000
-2.0278 0.0000 6.7748
Nd Mo Cl O
2 2 2 8
Cartesian
2.1169 0.0000 0.7781
6.4127 0.0000 5.9967
2.3349 0.0000 4.9592
6.1947 0.0000 1.8156
-1.4312 0.0000 5.1887
9.9608 0.0000 1.5861
1.4825 1.3987 5.7517
2.1283 0.0000 3.1993
4.4623 0.0000 1.4149
1.4825 -1.3987 5.7517
7.0470 1.3987 1.0231
4.0672 0.0000 5.3600
6.4013 0.0000 3.5756
7.0470 -1.3987 1.0231
```

two) DFT (PBE+U) results for a relaxed NdMoClO4 crystal.

For the volume, the calculation gives 1073.5 Å³ per cell. As for the space group: Pbam (55).

Structure (POSCAR):
```
NdMoClO4
1.0
7.0468 0.0000 0.0000
0.0000 20.1531 0.0000
0.0000 0.0000 7.5587
Nd Mo Cl O
8 8 8 32
Cartesian
0.1898 2.2427 0.0000
1.6252 17.3276 3.7794
1.8982 7.2510 3.7794
3.3337 12.3193 0.0000
3.7132 7.8338 0.0000
5.1486 12.9021 3.7794
5.4216 2.8256 3.7794
6.8571 17.9104 0.0000
0.5787 6.4156 0.0000
1.4906 1.3725 3.7794
2.0328 11.4491 3.7794
2.9447 16.4921 0.0000
4.1021 3.6610 0.0000
5.0140 8.7041 3.7794
5.5562 18.7806 3.7794
6.4681 13.7376 0.0000
0.2458 4.9290 3.7794
1.6900 19.9863 0.0000
1.8334 9.9097 0.0000
3.2777 15.0055 3.7794
3.7692 5.1476 3.7794
5.2134 10.2434 0.0000
5.3568 0.1668 0.0000
6.8011 15.2242 3.7794
0.2946 4.6613 0.0000
0.3937 12.1242 3.7794
0.4986 1.9721 2.3792
0.4986 1.9721 5.1796
0.9904 12.9186 0.0000
1.5679 19.7476 3.7794
1.6175 6.9381 1.4002
1.6175 6.9381 6.1585
1.9059 17.0147 1.4002
1.9059 17.0147 6.1585
1.9556 9.6710 3.7794
2.5330 2.8420 0.0000
3.0248 12.0487 2.3792
3.0248 12.0487 5.1796
3.1297 2.0476 3.7794
3.2288 14.7378 0.0000
3.8180 5.4153 0.0000
3.9171 18.1055 3.7794
4.0220 8.1045 2.3792
4.0220 8.1045 5.1796
4.5138 17.3111 0.0000
5.0913 10.4821 3.7794
5.1409 3.1385 1.4002
5.1409 3.1385 6.1585
5.4293 13.2150 1.4002
5.4293 13.2150 6.1585
5.4790 0.4055 3.7794
6.0564 7.2345 0.0000
6.5482 18.1811 2.3792
6.5482 18.1811 5.1796
6.6531 8.0289 3.7794
6.7523 15.4919 0.0000
```

one) is preferred energetically. Next in line: 5 meV/atom higher.